Record 1
Density functional theory data (PBE-GGA) for a geometry-optimized CsAlTlF6 structure.

The structure belongs to space group C2 (No. 5); the cell edges are 5.892, 10.224 and 6.138 Å and the angles 90.00°, 90.08° and 90.00°. The inequivalent atoms are Cs at (0.000, 0.000, 0.000), Al at (0.000, 0.667, 0.500), Tl at (0.000, 0.333, 0.500), F at (0.116, 0.536, 0.325), F at (0.138, 0.790, 0.326) and F at (0.245, 0.174, 0.326).

Its energy relative to the elements, uncorrected is -2787 meV per atom. For the total magnetization, the calculation gives 0.60 Bohr magnetons per cell.

---

Record 2
Density functional theory data (PBE-GGA) for a geometry-optimized La4AlAg structure.

The structure belongs to space group P4/mmm (No. 123); the cell edges are 3.863, 3.863 and 12.414 Å and the angles 90.00°, 90.00° and 90.00°. The inequivalent atoms are La at (0.000, 0.000, 0.143), La at (0.500, 0.500, 0.350), Al at (0.500, 0.500, 0.000) and Ag at (0.000, 0.000, 0.500).

The energy relative to the lowest polymorph listed for this composition is 0 meV per atom. Its formation energy from the elements is -0.1835 eV/atom. For the total magnetization, the calculation gives 1.43 Bohr magnetons per cell.

---

Record 3
Density functional theory data (PBE-GGA) for a geometry-optimized Li5RhO5 structure.

The structure belongs to space group C2/m (No. 12); the cell edges are 9.736, 3.940 and 5.835 Å and the angles 90.00°, 108.65° and 90.00°. The inequivalent atoms are Li at (0.000, 0.000, 0.000), Li at (0.191, 0.500, 0.362), Li at (0.205, 0.500, 0.838), Rh at (0.000, 0.000, 0.500), O at (0.000, 0.500, 0.500), O at (0.146, 0.000, 0.324) and O at (0.156, 0.000, 0.820).

Its energy relative to the elements, uncorrected is -1510 meV per atom. For the total magnetization, the calculation gives 4.06 Bohr magnetons per cell.

---

Record 4
Density functional theory data (PBE-GGA) for a geometry-optimized IrOs3O structure.

The structure belongs to space group Pm-3m (No. 221); the cell edges are 4.745, 4.745 and 4.745 Å and the angles 90.00°, 90.00° and 90.00°. The inequivalent atoms are Ir at (0.000, 0.000, 0.000), Os at (0.000, 0.000, 0.500) and O at (0.500, 0.500, 0.500).

The energy relative to the lowest polymorph listed for this composition is 2066 meV per atom. Its energy relative to the elements, uncorrected is 2936 meV per atom. For the total magnetization, the calculation gives 5.08 Bohr magnetons per cell.

---

Record 5
Density functional theory data (PBE-GGA) for a geometry-optimized BaCoH2Cl structure.

The structure belongs to space group P4/mmm (No. 123); the cell edges are 4.475, 4.475 and 6.630 Å and the angles 90.00°, 90.00° and 90.00°. The inequivalent atoms are Ba at (0.000, 0.000, 0.000), Co at (0.000, 0.000, 0.500), H at (0.000, 0.500, 0.000) and Cl at (0.500, 0.500, 0.500).

The calculated total energy comes out at -14.4 eV for the cell shown. For the total magnetization, the calculation gives 1.86 Bohr magnetons per cell.

---

Record 6
Density functional theory data (PBE-GGA) for a geometry-optimized Tb7Dy3Th structure.

The structure belongs to space group C2/m (No. 12); the cell edges are 6.952, 18.513 and 6.544 Å and the angles 90.00°, 121.33° and 90.00°. The inequivalent atoms are Tb at (0.000, 0.000, 0.000), Tb at (0.000, 0.413, 0.000), Tb at (0.223, 0.161, 0.443), Dy at (0.000, 0.000, 0.500), Dy at (0.250, 0.250, 0.000) and Th at (0.000, 0.500, 0.500).

The energy relative to the lowest polymorph listed for this composition is 0 meV per atom. Its formation energy from the elements is 0.1552 eV/atom. For the total magnetization, the calculation gives 0.00 Bohr magnetons per cell.

---

Record 7
Density functional theory data (PBE-GGA) for a geometry-optimized Zn2FeMo structure.

The structure belongs to space group Cmm2 (No. 35); the cell edges are 3.199, 4.163 and 8.490 Å and the angles 90.00°, 90.00° and 90.00°. The inequivalent atoms are Zn at (0.000, 0.000, 0.000), Zn at (0.000, 0.500, 0.261), Fe at (0.000, 0.500, 0.766) and Mo at (0.000, 0.000, 0.524).

The energy relative to the lowest polymorph listed for this composition is 21 meV per atom. Its formation energy from the elements is 0.0778 eV/atom. For the total magnetization, the calculation gives 4.41 Bohr magnetons per cell.

---

Record 8
Density functional theory data (PBE-GGA) for a geometry-optimized Li2HfGaRe structure.

The structure belongs to space group P4/mmm (No. 123); the cell edges are 4.194, 4.194 and 5.150 Å and the angles 90.00°, 90.00° and 90.00°. The inequivalent atoms are Li at (0.000, 0.500, 0.000), Hf at (0.000, 0.000, 0.500), Ga at (0.000, 0.000, 0.000) and Re at (0.500, 0.500, 0.500).

Its formation energy from the elements is 0.9028 eV/atom. For the total magnetization, the calculation gives 0.54 Bohr magnetons per cell.

---

Record 9
Density functional theory data (PBE-GGA) for a geometry-optimized PrYScGa structure.

The structure belongs to space group F-43m (No. 216); the cell edges are 7.488, 7.488 and 7.488 Å and the angles 90.00°, 90.00° and 90.00°. The inequivalent atoms are Pr at (0.000, 0.000, 0.000), Y at (0.000, 0.000, 0.500), Sc at (0.250, 0.250, 0.750) and Ga at (0.250, 0.250, 0.250).

Its formation energy from the elements is -0.1511 eV/atom. For the total magnetization, the calculation gives 4.72 Bohr magnetons per cell.

---

Record 10
Density functional theory data (PBE-GGA) for a geometry-optimized SrAcPS structure.

The structure belongs to space group R3m (No. 160, hexagonal axes); the cell edges are 4.4024, 4.4024 and 21.3990 Å and the angles 90.00°, 90.00° and 120.00°. The inequivalent atoms are Sr at (0.0000, 0.0000, 0.0000), Ac at (0.0000, 0.0000, 0.4948), P at (0.0000, 0.0000, 0.7511) and S at (0.0000, 0.0000, 0.2474).

Its energy relative to the elements, uncorrected is -1754 meV per atom. For the total magnetization, the calculation gives 0.00 Bohr magnetons per cell.